TcSb2 | PBE | relaxed

## Properties
uncorrected formation energy	0.02	eV/atom
V	137.1	Å³ per cell
ρ	8.270	g cm⁻³
E_tot	-0.45444	Ry per atom
E above lowest polymorph	3.7	kJ per mole of atoms

abc: 13.1223 13.1226 13.1226
angles: 165.74 165.74 20.22
Last column: nearest neighbours and their distance in Å.
Element x y z (fractional)
Sb  0.5617  0.8120  0.7497  4 Tc 2.82
Sb  0.4383  0.1880  0.2503  4 Tc 2.82
Sb  0.3121  0.0620  0.2501  4 Tc 2.82
Tc  0.8748  0.6250  0.2498  8 Sb 2.82
Tc  0.1252  0.3750  0.7502  8 Sb 2.82
Sb  0.6879  0.9380  0.7499  4 Tc 2.82

=====

TcSb2 | PBE | relaxed

## Properties
uncorrected formation energy	1.04	eV/atom
V	316.1	Å³ per cell
ρ	7.177	g cm⁻³
E_tot	-0.37976	Ry per atom
E above lowest polymorph	101.7	kJ per mole of atoms

abc: 5.7217 5.7217 11.1474
angles: 90.00 90.00 120.00
Last column: nearest neighbours and their distance in Å.
Element x y z (fractional)
Sb  0.1664  0.8336  0.7500  2 Tc 2.71, 4 Sb 2.86-2.87
Sb  0.0000  0.0000  0.5000  6 Sb 3.24, 6 Tc 3.37
Sb  0.8336  0.6672  0.2500  2 Tc 2.71, 4 Sb 2.86-2.87
Sb  0.8336  0.1664  0.2500  2 Tc 2.71, 4 Sb 2.86-2.87
Tc  0.3333  0.6667  0.5575  3 Sb 2.71
Sb  0.0000  0.0000  0.0000  6 Sb 3.24, 6 Tc 3.37
Tc  0.3333  0.6667  0.9425  3 Sb 2.71
Sb  0.1664  0.3328  0.7500  2 Tc 2.71, 4 Sb 2.86-2.87
Tc  0.6667  0.3333  0.0575  3 Sb 2.71
Tc  0.6667  0.3333  0.4425  3 Sb 2.71
Sb  0.6672  0.8336  0.7500  2 Tc 2.71, 4 Sb 2.86-2.87
Sb  0.3328  0.1664  0.2500  2 Tc 2.71, 4 Sb 2.86-2.87

=====

Tc3Sb | PBE | relaxed

## Properties
uncorrected formation energy	0.32	eV/atom
V	64.8	Å³ per cell
ρ	10.651	g cm⁻³
E_tot	-0.62355	Ry per atom
E above lowest polymorph	12.0	kJ per mole of atoms

abc: 2.9721 2.9721 8.4731
angles: 90.00 90.00 120.00
Last column: nearest neighbours and their distance in Å.
Element x y z (fractional)
Sb  0.0000  0.0000  0.0000  6 Tc 2.76, 6 Sb 2.97
Tc  0.0000  0.0000  0.5000  12 Tc 2.69-2.97
Tc  0.6667  0.3333  0.2553  9 Tc 2.69-2.97, 3 Sb 2.76
Tc  0.6667  0.3333  0.7447  9 Tc 2.69-2.97, 3 Sb 2.76

=====

TcSb2 | PBE | relaxed

## Properties
uncorrected formation energy	0.14	eV/atom
V	182.7	Å³ per cell
ρ	9.310	g cm⁻³
E_tot	-0.44534	Ry per atom
E above lowest polymorph	15.6	kJ per mole of atoms

abc: 7.8102 7.8102 3.4592
angles: 90.00 90.00 120.00
Last column: nearest neighbours and their distance in Å.
Element x y z (fractional)
Sb  0.3915  0.3915  0.5000  5 Tc 2.97-3.06, 6 Sb 3.12-3.22
Sb  0.0000  0.6085  0.5000  5 Tc 2.97-3.06, 6 Sb 3.12-3.22
Sb  0.2765  0.0000  0.0000  4 Tc 2.77-2.85
Sb  0.7235  0.7235  0.0000  4 Tc 2.77-2.85
Tc  0.3333  0.6667  0.0000  9 Sb 2.85-2.97
Tc  0.6667  0.3333  0.0000  9 Sb 2.85-2.97
Sb  0.6085  0.0000  0.5000  5 Tc 2.97-3.06, 6 Sb 3.12-3.22
Tc  0.0000  0.0000  0.5000  9 Sb 2.77-3.06
Sb  0.0000  0.2765  0.0000  4 Tc 2.77-2.85

=====

TcSb3 | PBE | relaxed

## Properties
uncorrected formation energy	0.19	eV/atom
V	214.3	Å³ per cell
ρ	7.180	g cm⁻³
E_tot	-0.40373	Ry per atom
E above lowest polymorph	15.1	kJ per mole of atoms

abc: 8.6854 8.6854 3.2799
angles: 90.00 90.00 120.00
Last column: nearest neighbours and their distance in Å.
Element x y z (fractional)
Sb  0.1918  0.3836  0.7500  2 Tc 2.69
Sb  0.8082  0.1918  0.2500  2 Tc 2.69
Sb  0.3836  0.1918  0.2500  2 Tc 2.69
Tc  0.3333  0.6667  0.2500  6 Sb 2.69
Tc  0.6667  0.3333  0.7500  6 Sb 2.69
Sb  0.1918  0.8082  0.7500  2 Tc 2.69
Sb  0.8082  0.6164  0.2500  2 Tc 2.69
Sb  0.6164  0.8082  0.7500  2 Tc 2.69

=====

Tc4Sb3 | PBE | relaxed

## Properties
uncorrected formation energy	1.05	eV/atom
V	135.4	Å³ per cell
ρ	9.286	g cm⁻³
E_tot	-0.48839	Ry per atom
E above lowest polymorph	88.6	kJ per mole of atoms

abc: 5.8541 5.8541 4.5625
angles: 90.00 90.00 120.00
Last column: nearest neighbours and their distance in Å.
Element x y z (fractional)
Tc  0.0000  0.0000  0.2538  2 Tc 2.25-2.32
Sb  0.0000  0.5000  0.0000  8 Tc 2.84-3.15, 4 Sb 2.93
Tc  0.0000  0.0000  0.7462  2 Tc 2.25-2.32
Sb  0.5000  0.5000  0.0000  8 Tc 2.84-3.15, 4 Sb 2.93
Tc  0.3333  0.6667  0.5000  6 Sb 2.84
Tc  0.6667  0.3333  0.5000  6 Sb 2.84
Sb  0.5000  0.0000  0.0000  8 Tc 2.84-3.15, 4 Sb 2.93

=====

TcSb3 | PBE | relaxed

## Properties
uncorrected formation energy	0.36	eV/atom
V	92.3	Å³ per cell
ρ	8.336	g cm⁻³
E_tot	-0.39090	Ry per atom
E above lowest polymorph	31.9	kJ per mole of atoms

abc: 4.8956 4.8956 6.0042
angles: 78.65 78.65 40.99
Last column: nearest neighbours and their distance in Å.
Element x y z (fractional)
Sb  0.5000  0.5000  0.5000  6 Sb 3.02-3.24
Tc  0.0000  0.0000  0.0000  6 Sb 2.78-3.00
Sb  0.2723  0.2723  0.2025  3 Tc 2.78-3.00, 3 Sb 3.02-3.07
Sb  0.7277  0.7277  0.7975  3 Tc 2.78-3.00, 3 Sb 3.02-3.07

=====

Tc3Sb | PBE | relaxed

## Properties
uncorrected formation energy	0.47	eV/atom
V	147.8	Å³ per cell
ρ	9.344	g cm⁻³
E_tot	-0.61286	Ry per atom
E above lowest polymorph	26.1	kJ per mole of atoms

abc: 5.8001 5.8001 4.4512
angles: 90.00 90.00 99.30
Last column: nearest neighbours and their distance in Å.
Element x y z (fractional)
Tc  0.0557  0.6209  0.2500  3 Tc 2.43-2.65, 1 Sb 2.69
Sb  0.3821  0.6179  0.7500  7 Tc 2.69-2.92
Tc  0.6209  0.0557  0.7500  3 Tc 2.43-2.65, 1 Sb 2.69
Tc  0.0612  0.9388  0.7500  4 Tc 2.47-2.75
Tc  0.9443  0.3791  0.7500  3 Tc 2.43-2.65, 1 Sb 2.69
Tc  0.3791  0.9443  0.2500  3 Tc 2.43-2.65, 1 Sb 2.69
Sb  0.6179  0.3821  0.2500  7 Tc 2.69-2.92
Tc  0.9388  0.0612  0.2500  4 Tc 2.47-2.75

=====

Question: Which of these has the highest ρ?
Answer: number 3

=====

Repeat the fifth record exactly.
TcSb3 | PBE | relaxed

## Properties
uncorrected formation energy	0.19	eV/atom
V	214.3	Å³ per cell
ρ	7.180	g cm⁻³
E_tot	-0.40373	Ry per atom
E above lowest polymorph	15.1	kJ per mole of atoms

abc: 8.6854 8.6854 3.2799
angles: 90.00 90.00 120.00
Last column: nearest neighbours and their distance in Å.
Element x y z (fractional)
Sb  0.1918  0.3836  0.7500  2 Tc 2.69
Sb  0.8082  0.1918  0.2500  2 Tc 2.69
Sb  0.3836  0.1918  0.2500  2 Tc 2.69
Tc  0.3333  0.6667  0.2500  6 Sb 2.69
Tc  0.6667  0.3333  0.7500  6 Sb 2.69
Sb  0.1918  0.8082  0.7500  2 Tc 2.69
Sb  0.8082  0.6164  0.2500  2 Tc 2.69
Sb  0.6164  0.8082  0.7500  2 Tc 2.69

=====

Question: Among the records above, which one has the lowest uncorrected formation energy?
Answer: number 1

=====

Question: Which of these has the highest ρ?
Answer: number 3